a) A plane-wave DFT calculation with GGA-PBE was carried out for crystalline DyErPu at its relaxed geometry.

Structure (POSCAR):
```
DyErPu
1.0
3.495 0.000 0.000
-1.748 3.027 0.000
0.000 0.000 8.495
Dy Er Pu
1 1 1
Direct
0.000 0.000 0.000
0.333 0.667 0.663
0.667 0.333 0.333
```

Values from the calculation:
**DOS(E_F)**: 9.078 states/eV/cell
**Symmetry**: P3m1 (156)

***

b) A plane-wave DFT calculation with GGA-PBE was carried out for crystalline DyErPu at its relaxed geometry.

Structure (POSCAR):
```
DyErPu
1.0
5.566 -5.568 0.000
5.566 5.568 0.000
0.000 0.000 3.279
Dy Er Pu
2 2 2
Direct
0.236 0.764 0.000
0.764 0.236 0.000
0.263 0.263 0.500
0.737 0.737 0.500
0.000 0.000 0.500
0.500 0.500 0.000
```

Values from the calculation:
**DOS(E_F)**: 16.453 states/eV/cell
**Symmetry**: Cmmm (65)

***

Verdict on stability: b) comes out at the bottom.

***

a) A plane-wave DFT calculation with GGA-PBE was carried out for crystalline DyEr3Rh2 at its relaxed geometry.

Structure (POSCAR):
```
DyEr3Rh2
1.0
4.626 0.000 0.000
0.000 8.664 0.000
0.000 0.000 7.146
Dy Er Rh
2 6 4
Direct
0.000 0.085 0.000
0.000 0.915 0.500
0.000 0.332 0.629
0.000 0.668 0.129
0.500 0.170 0.347
0.500 0.415 0.976
0.500 0.585 0.476
0.500 0.830 0.847
0.000 0.342 0.231
0.000 0.658 0.731
0.500 0.160 0.744
0.500 0.840 0.244
```

Values from the calculation:
**DOS(E_F)**: 11.744 states/eV/cell
**Symmetry**: Pmc2_1 (26)

***

b) A plane-wave DFT calculation with GGA-PBE was carried out for crystalline DyEr3Rh2 at its relaxed geometry.

Structure (POSCAR):
```
DyEr3Rh2
1.0
-3.331 6.741 3.506
3.331 -6.741 3.506
3.331 6.741 -3.506
Dy Er Rh
2 6 4
Direct
0.000 0.000 0.000
0.500 0.500 0.000
0.018 0.250 0.768
0.250 0.750 0.500
0.482 0.250 0.232
0.518 0.750 0.768
0.750 0.250 0.500
0.982 0.750 0.232
0.138 0.711 0.849
0.362 0.211 0.573
0.638 0.789 0.427
0.862 0.289 0.151
```

Values from the calculation:
**DOS(E_F)**: 9.758 states/eV/cell
**Symmetry**: Ibam (72)

***

Verdict on stability: b) comes out at the bottom.

***

a) A plane-wave DFT calculation with GGA-PBE was carried out for crystalline Dy2Er2Rh3 at its relaxed geometry.

Structure (POSCAR):
```
Dy2Er2Rh3
1.0
4.770 0.000 0.000
0.017 4.801 0.000
2.377 2.381 6.870
Dy Er Rh
2 2 3
Direct
0.127 0.127 0.248
0.873 0.873 0.752
0.373 0.372 0.753
0.627 0.628 0.247
0.000 0.500 0.500
0.252 0.752 0.997
0.748 0.248 0.003
```

Values from the calculation:
**DOS(E_F)**: 3.782 states/eV/cell
**Symmetry**: P-1 (2)

***

b) A plane-wave DFT calculation with GGA-PBE was carried out for crystalline Dy2Er2Rh3 at its relaxed geometry.

Structure (POSCAR):
```
Dy2Er2Rh3
1.0
4.137 -2.387 0.000
4.137 2.387 0.000
-2.773 0.000 7.918
Dy Er Rh
2 2 3
Direct
0.125 0.125 0.374
0.875 0.875 0.626
0.376 0.376 0.126
0.624 0.624 0.874
0.000 0.000 0.000
0.251 0.251 0.754
0.749 0.749 0.246
```

Values from the calculation:
**DOS(E_F)**: 3.291 states/eV/cell
**Symmetry**: C2/m (12)

***

Verdict on stability: a) comes out at the bottom.